A plane-wave DFT calculation with PBE-GGA was carried out for a relaxed structure of La4Tb2Tm3.

Summary:
Energy relative to the elements (eV/atom): 0.0324
E (eV/atom): -4.677
Space-group type: C2/m, No. 12
ΔE to the lowest computed polymorph (meV per atom): 0

Structure (extended XYZ):
```
9
Lattice="-4.047 0.979 -3.000 -4.967 -1.820 6.106 3.614 7.021 1.804" Properties=species:S:1:pos:R:3 pbc="T T T"
La -3.495 0.692 0.550
La -4.458 3.432 2.743
La -1.905 5.488 4.360
La -0.942 2.748 2.167
Tb 1.057 4.998 0.204
Tb -6.457 1.182 4.707
Tm -2.418 5.725 0.739
Tm -2.982 0.455 4.171
Tm 0.000 0.000 0.000
```



A plane-wave DFT calculation with PBE-GGA was carried out for a relaxed structure of La7TbTm2.

Summary:
Energy relative to the elements (eV/atom): 0.6016
E (eV/atom): -4.205
Space-group type: Cmmm, No. 65
ΔE to the lowest computed polymorph (meV per atom): 269

Structure (extended XYZ):
```
10
Lattice="5.831 0.000 0.000 0.000 9.263 -0.386 0.000 -4.523 8.092" Properties=species:S:1:pos:R:3 pbc="T T T"
La 0.000 6.019 1.609
La 0.000 -1.279 6.098
La 2.915 -0.728 2.381
La 2.915 5.467 5.326
La 2.915 2.453 0.425
La 2.915 2.287 7.282
La 2.915 2.370 3.853
Tb 0.000 0.000 0.000
Tm 2.915 5.191 2.119
Tm 2.915 -0.451 5.588
```



A plane-wave DFT calculation with PBE-GGA was carried out for a relaxed structure of LaTb3Tm3.

Summary:
Energy relative to the elements (eV/atom): 0.3438
E (eV/atom): -4.261
Space-group type: P6_3/m, No. 176
ΔE to the lowest computed polymorph (meV per atom): 326

Structure (extended XYZ):
```
14
Lattice="-2.106 -2.172 -2.104 5.346 4.620 -10.119 4.776 -9.962 5.502" Properties=species:S:1:pos:R:3 pbc="T T T"
La 4.630 -0.784 -5.438
La 3.387 -6.730 -1.283
Tb 4.136 -3.909 -4.945
Tb 5.095 -1.338 -8.558
Tb 6.517 -7.152 -0.753
Tb 1.500 -0.361 -5.968
Tb 2.922 -6.176 1.836
Tb 3.881 -3.605 -1.777
Tm 6.640 -4.282 -7.065
Tm 2.945 1.136 -8.960
Tm 6.871 -5.051 -3.276
Tm 1.146 -2.462 -3.445
Tm 5.072 -8.650 2.239
Tm 1.377 -3.231 0.344
```



A plane-wave DFT calculation with PBE-GGA was carried out for a relaxed structure of La3TbTm4.

Summary:
Energy relative to the elements (eV/atom): 0.1466
E (eV/atom): -4.516
Space-group type: Immm, No. 71
ΔE to the lowest computed polymorph (meV per atom): 114

Structure (extended XYZ):
```
8
Lattice="-1.750 -2.150 -2.108 6.441 -5.791 -2.314 -2.154 -6.613 5.658" Properties=species:S:1:pos:R:3 pbc="T T T"
Tm -1.734 -6.106 1.915
Tm 4.271 -8.447 -0.679
Tm -0.109 -8.866 3.383
Tm 2.646 -5.688 -2.147
Tb 5.566 -6.866 -3.368
La -0.275 -4.656 -0.776
La 2.812 -9.898 2.012
La 2.144 -6.202 1.672
```



A plane-wave DFT calculation with PBE-GGA was carried out for a relaxed structure of La2Tb7Tm4.

Summary:
Energy relative to the elements (eV/atom): 0.2007
E (eV/atom): -4.426
Space-group type: P-31m, No. 162

Structure (extended XYZ):
```
13
Lattice="-1.343 -0.964 -5.864 2.409 -4.482 3.350 -12.168 -3.968 3.440" Properties=species:S:1:pos:R:3 pbc="T T T"
La -0.093 -2.137 -2.792
La 1.158 -3.310 0.279
Tb -8.623 -4.701 3.884
Tb -1.136 -3.749 2.907
Tb 0.000 0.000 0.000
Tb -9.968 -3.439 0.579
Tb -3.543 -1.493 -3.003
Tb -2.299 -2.828 -0.144
Tb -8.803 -6.587 1.070
Tm -7.360 -2.400 2.081
Tm -4.807 -1.568 1.359
Tm -6.177 -4.121 -1.073
Tm -4.926 -5.294 1.999
```



A plane-wave DFT calculation with PBE-GGA was carried out for a relaxed structure of La2TbTm6.

Summary:
Energy relative to the elements (eV/atom): 0.0816
E (eV/atom): -4.509
Space-group type: P6/mmm, No. 191
ΔE to the lowest computed polymorph (meV per atom): 0

Structure (extended XYZ):
```
9
Lattice="-0.399 0.927 3.312 -2.009 -10.122 -1.028 7.343 -7.290 -0.695" Properties=species:S:1:pos:R:3 pbc="T T T"
La 3.423 -11.299 -0.045
La 1.512 -5.185 1.634
Tb 0.000 0.000 0.000
Tm -0.995 -2.575 2.409
Tm 2.840 -14.845 -0.931
Tm 5.930 -13.909 -0.821
Tm 4.052 -7.762 0.851
Tm 2.095 -1.639 2.519
Tm 0.884 -8.722 0.738
```



A plane-wave DFT calculation with PBE-GGA was carried out for a relaxed structure of La3TbTm8.

Summary:
Energy relative to the elements (eV/atom): 0.2722
E (eV/atom): -4.326
Space-group type: Immm, No. 71

Structure (extended XYZ):
```
12
Lattice="8.279 -1.345 -2.206 -5.969 6.155 -1.305 1.251 1.345 8.476" Properties=species:S:1:pos:R:3 pbc="T T T"
La -0.010 4.256 0.015
La 3.570 1.899 4.950
La -2.359 3.750 3.585
Tb 0.000 0.000 0.000
Tm 2.916 1.211 0.652
Tm 0.644 4.944 4.313
Tm 4.063 3.599 -1.091
Tm -0.502 2.556 6.056
Tm 0.471 1.868 2.870
Tm 5.457 0.523 -1.503
Tm -1.896 5.631 6.468
Tm 3.089 4.287 2.095
```



A plane-wave DFT calculation with PBE-GGA was carried out for a relaxed structure of La3TbTm3.

Summary:
Energy relative to the elements (eV/atom): 0.0317
E (eV/atom): -4.658
Space-group type: P6_3/m, No. 176
ΔE to the lowest computed polymorph (meV per atom): 0

Structure (extended XYZ):
```
14
Lattice="-4.662 -2.029 2.769 -4.454 -1.363 -8.497 5.370 -7.088 3.846" Properties=species:S:1:pos:R:3 pbc="T T T"
La -2.528 -8.255 -1.228
La -2.401 -3.342 2.587
La 0.727 -8.508 4.067
La -1.217 -2.226 -0.654
La -1.345 -7.138 -4.469
La -4.472 -1.973 -5.948
Tb -1.401 -6.702 1.808
Tb -2.344 -3.779 -3.690
Tm -0.177 -5.555 -1.343
Tm 1.002 -4.064 1.735
Tm 1.964 -7.444 0.878
Tm -3.568 -4.925 -0.538
Tm -4.748 -6.417 -3.617
Tm -5.710 -3.037 -2.759
```



A plane-wave DFT calculation with PBE-GGA was carried out for a relaxed structure of LaTb4Tm.

Summary:
Energy relative to the elements (eV/atom): 0.2641
E (eV/atom): -4.389
Space-group type: F-43m, No. 216
ΔE to the lowest computed polymorph (meV per atom): 66

Structure (extended XYZ):
```
6
Lattice="6.619 0.000 0.000 3.310 5.732 0.000 3.310 1.911 5.405" Properties=species:S:1:pos:R:3 pbc="T T T"
Tm 0.000 0.000 0.000
Tb 6.619 3.822 0.667
Tb 6.619 1.903 3.381
Tb 8.281 4.781 3.381
Tb 4.957 4.781 3.381
La 3.310 1.911 1.351
```



A plane-wave DFT calculation with PBE-GGA was carried out for a relaxed structure of LaTb6Tm12.

Summary:
Energy relative to the elements (eV/atom): 0.4340
E (eV/atom): -4.112
Space-group type: R-3m, No. 166
ΔE to the lowest computed polymorph (meV per atom): 272

Structure (extended XYZ):
```
19
Lattice="8.893 -0.502 -2.605 -3.341 8.257 -2.605 -0.359 -0.502 9.260" Properties=species:S:1:pos:R:3 pbc="T T T"
La 0.000 0.000 0.000
Tb 4.985 1.387 3.887
Tb 3.698 5.166 -1.232
Tb -0.293 5.166 3.887
Tb 1.494 2.087 5.281
Tb 0.208 5.866 0.162
Tb 5.486 2.087 0.162
Tm 7.377 0.204 2.025
Tm 2.649 0.949 2.066
Tm 2.014 2.813 -0.460
Tm 5.148 4.440 1.984
Tm 3.178 4.440 4.509
Tm 2.544 6.304 1.984
Tm 1.431 7.049 -2.612
Tm -1.019 3.626 6.661
Tm -2.184 7.049 2.025
Tm 3.761 0.204 6.661
Tm 6.212 3.626 -2.612
Tm 0.045 2.813 2.066
```



A plane-wave DFT calculation with PBE-GGA was carried out for a relaxed structure of La4Tb3Tm2.

Summary:
Energy relative to the elements (eV/atom): 0.0843
E (eV/atom): -4.643
Space-group type: C2/m, No. 12
ΔE to the lowest computed polymorph (meV per atom): 52

Structure (extended XYZ):
```
9
Lattice="3.685 0.000 0.000 -1.842 6.357 1.372 0.000 3.708 14.148" Properties=species:S:1:pos:R:3 pbc="T T T"
La 1.842 2.364 2.217
La 0.000 3.673 8.892
La 1.842 6.392 6.627
La 0.000 7.701 13.302
Tb 0.000 7.119 9.717
Tb 0.000 0.000 0.000
Tb 1.842 2.946 5.803
Tm 0.000 5.063 3.880
Tm 1.842 5.002 11.639
```



A plane-wave DFT calculation with PBE-GGA was carried out for a relaxed structure of La4Tb11Tm9.

Summary:
Energy relative to the elements (eV/atom): 0.0504
E (eV/atom): -4.570
Space-group type: Cmmm, No. 65

Structure (extended XYZ):
```
24
Lattice="-0.554 -0.272 -3.541 11.608 -10.261 -1.027 -14.130 -5.862 2.660" Properties=species:S:1:pos:R:3 pbc="T T T"
La -4.216 -10.562 -0.354
La 1.140 -5.832 -1.554
La 0.281 -11.330 -0.998
La -3.356 -5.064 -0.910
Tb -6.773 -11.784 1.965
Tb 4.252 -4.338 -0.332
Tb 2.831 -13.425 0.589
Tb -5.352 -2.697 1.044
Tb 1.944 -8.609 0.357
Tb -4.465 -7.513 1.276
Tb 6.780 -9.435 -0.335
Tb -9.301 -6.687 1.968
Tb 0.000 0.000 0.000
Tb -2.000 -12.787 1.295
Tb -0.522 -3.335 0.338
Tm 4.379 -7.455 -1.936
Tm -7.454 -8.939 0.028
Tm -6.920 -5.524 -0.318
Tm 3.845 -10.870 -1.590
Tm -4.954 -14.112 0.035
Tm 1.879 -2.282 -1.943
Tm -0.101 -14.941 -0.660
Tm -2.974 -1.453 -1.248
Tm -1.538 -8.197 -0.954
```



A plane-wave DFT calculation with PBE-GGA was carried out for a relaxed structure of La4Tb5Tm.

Summary:
Energy relative to the elements (eV/atom): 0.1873
E (eV/atom): -4.546
Space-group type: C2/m, No. 12
ΔE to the lowest computed polymorph (meV per atom): 0

Structure (extended XYZ):
```
10
Lattice="-1.971 -2.890 -0.656 9.537 -6.145 -1.585 1.128 -0.553 8.705" Properties=species:S:1:pos:R:3 pbc="T T T"
La 1.449 -3.633 1.996
La 7.172 -4.743 -0.655
La 7.244 -5.955 4.468
La 1.521 -4.846 7.119
Tb 9.129 -6.538 1.371
Tb 5.300 -4.075 2.024
Tb 3.393 -5.514 4.440
Tb 3.783 -4.518 -1.120
Tb -0.436 -3.051 5.093
Tm -0.986 -1.445 -0.328
```



A plane-wave DFT calculation with PBE-GGA was carried out for a relaxed structure of LaTb7Tm12.

Summary:
Energy relative to the elements (eV/atom): 0.7070
E (eV/atom): -3.843
Space-group type: Im-3, No. 204
ΔE to the lowest computed polymorph (meV per atom): 467

Structure (extended XYZ):
```
20
Lattice="9.122 0.000 -3.225 -4.561 7.900 -3.225 0.000 0.000 9.675" Properties=species:S:1:pos:R:3 pbc="T T T"
La 0.000 0.000 0.000
Tb 2.281 3.950 -3.225
Tb -2.281 3.950 3.225
Tb 4.561 0.000 3.225
Tb 2.281 3.950 1.613
Tb 0.000 0.000 4.838
Tb 4.561 0.000 -1.613
Tb -2.281 3.950 -1.613
Tm 1.041 5.864 3.230
Tm 5.730 5.864 -3.130
Tm 3.520 2.036 -0.005
Tm -1.169 2.036 6.355
Tm 6.775 0.006 0.095
Tm 4.564 3.834 3.221
Tm -2.213 7.894 3.130
Tm -0.003 4.066 0.005
Tm 3.382 5.870 -0.095
Tm 1.179 2.030 3.320
Tm 5.599 2.030 6.446
Tm -1.038 5.870 -3.221
```



A plane-wave DFT calculation with PBE-GGA was carried out for a relaxed structure of LaTb5Tm5.

Summary:
Energy relative to the elements (eV/atom): 0.3079
E (eV/atom): -4.277
Space-group type: P-6m2, No. 187

Structure (extended XYZ):
```
11
Lattice="-4.785 3.664 0.287 0.631 -4.459 4.016 5.930 7.192 7.053" Properties=species:S:1:pos:R:3 pbc="T T T"
La -1.174 -1.751 2.773
Tb -2.049 2.085 2.637
Tb 2.019 7.020 7.476
Tb 0.756 0.589 5.068
Tb 2.826 3.101 7.531
Tb 0.000 0.000 0.000
Tm 1.477 4.074 4.291
Tm 1.574 1.909 1.872
Tm -0.603 3.676 6.445
Tm -0.919 5.908 4.435
Tm 4.356 5.283 5.181
```



A plane-wave DFT calculation with PBE-GGA was carried out for a relaxed structure of La4TbTm4.

Summary:
Energy relative to the elements (eV/atom): 0.7261
E (eV/atom): -3.966
Space-group type: I-42m, No. 121
ΔE to the lowest computed polymorph (meV per atom): 691

Structure (extended XYZ):
```
9
Lattice="-2.107 -4.425 -3.584 2.751 2.556 -4.772 7.787 -4.398 5.996" Properties=species:S:1:pos:R:3 pbc="T T T"
La -1.054 -2.213 -1.792
La 1.375 1.278 -2.386
La 2.308 -1.518 0.517
La 6.122 -4.750 -2.878
Tb 0.000 0.000 0.000
Tm 4.868 -3.464 -0.447
Tm 4.557 -1.879 -3.641
Tm 4.636 -2.787 2.577
Tm 2.799 -4.406 -3.211
```



A plane-wave DFT calculation with PBE-GGA was carried out for a relaxed structure of LaTb3Tm7.

Summary:
Energy relative to the elements (eV/atom): 0.2025
E (eV/atom): -4.354
Space-group type: P3m1, No. 156
ΔE to the lowest computed polymorph (meV per atom): 46

Structure (extended XYZ):
```
11
Lattice="-5.055 -6.746 1.640 1.717 0.360 6.773 -5.526 3.557 -2.402" Properties=species:S:1:pos:R:3 pbc="T T T"
La -5.373 -0.527 1.390
Tb -5.872 -3.347 3.482
Tb -3.122 -5.117 4.677
Tb -5.017 -3.168 6.852
Tm -4.910 2.231 -0.677
Tm -2.152 0.456 0.521
Tm -1.298 0.624 3.910
Tm -1.752 -2.114 5.967
Tm -2.606 -2.293 2.600
Tm -4.499 -0.346 4.773
Tm -4.053 2.410 2.703
```



A plane-wave DFT calculation with PBE-GGA was carried out for a relaxed structure of La2Tb9Tm.

Summary:
Energy relative to the elements (eV/atom): 0.0277
E (eV/atom): -4.639
Space-group type: P4/mmm, No. 123
ΔE to the lowest computed polymorph (meV per atom): 0

Structure (extended XYZ):
```
12
Lattice="5.072 0.000 0.000 0.000 5.072 0.000 0.000 0.000 15.241" Properties=species:S:1:pos:R:3 pbc="T T T"
La 0.000 0.000 5.075
La 0.000 0.000 10.166
Tb 2.536 2.536 0.000
Tb 2.536 2.536 5.041
Tb 2.536 2.536 10.201
Tb 2.536 0.000 2.477
Tb 2.536 0.000 7.621
Tb 2.536 0.000 12.764
Tb 0.000 2.536 2.477
Tb 0.000 2.536 7.621
Tb 0.000 2.536 12.764
Tm 0.000 0.000 0.000
```



A plane-wave DFT calculation with PBE-GGA was carried out for a relaxed structure of LaTb3Tm2.

Summary:
Energy relative to the elements (eV/atom): 0.0201
E (eV/atom): -4.607
Space-group type: Cmcm, No. 63
ΔE to the lowest computed polymorph (meV per atom): 0

Structure (extended XYZ):
```
12
Lattice="3.588 0.000 0.000 -1.794 9.309 0.000 0.000 0.000 11.578" Properties=species:S:1:pos:R:3 pbc="T T T"
La 0.000 4.107 2.895
La 1.794 5.201 8.684
Tb 1.794 3.059 11.544
Tb 0.000 1.998 8.684
Tb 1.794 3.059 5.824
Tb 1.794 7.311 2.895
Tb 0.000 6.249 0.035
Tb 0.000 6.249 5.755
Tm 0.000 0.000 0.000
Tm 0.000 0.000 5.789
Tm 1.794 1.000 2.895
Tm 0.000 8.309 8.684
```



A plane-wave DFT calculation with PBE-GGA was carried out for a relaxed structure of La4Tb3Tm.

Summary:
Energy relative to the elements (eV/atom): 0.2263
E (eV/atom): -4.533
Space-group type: C2/m, No. 12
ΔE to the lowest computed polymorph (meV per atom): 0

Structure (extended XYZ):
```
8
Lattice="3.443 0.000 -0.434 -0.079 6.268 -0.625 -0.147 0.699 12.692" Properties=species:S:1:pos:R:3 pbc="T T T"
Tm 1.721 0.000 -0.217
Tb -0.039 3.134 -0.312
Tb 0.383 4.870 3.036
Tb 2.833 2.097 8.597
La 2.395 1.857 5.123
La 0.821 5.110 6.510
La 0.314 1.646 2.487
La 2.903 5.321 9.146
```